# 1
Here is a geometry-optimized Cs3NpZn2S6 structure from Alexandria via LeMat-Bulk. Energies are from PBE.

a b c (Å): 7.4787 7.4787 8.9637
angles (deg): 90.00 90.00 120.00
With the nearest neighbours (Å) after each atom.
Fractional coordinates of all 12 atoms:
Cs 0.3333 0.6667 0.7071  1 Zn 3.44, 6 S 3.75
Cs 0.6667 0.3333 0.2929  1 Zn 3.44, 6 S 3.75
Cs 0.0000 0.0000 0.0000  6 S 3.53
Np 0.0000 0.0000 0.5000  6 S 2.63
Zn 0.6667 0.3333 0.6770  3 S 2.25
Zn 0.3333 0.6667 0.3230  3 S 2.25
S 0.6802 0.8401 0.3189  1 Zn 2.25
S 0.1599 0.3198 0.3189  1 Zn 2.25
S 0.1599 0.8401 0.3189  1 Zn 2.25
S 0.8401 0.6802 0.6811  1 Zn 2.25
S 0.3198 0.1599 0.6811  1 Zn 2.25
S 0.8401 0.1599 0.6811  1 Zn 2.25

## Properties
Total magnetic moment in μB per atom: 0.167
Space group: P-3m1, No. 164
ΔE_f (raw) in kJ/mol of atoms: -97.45

=====

# 2
Here is a geometry-optimized MgSi2Tc structure from Alexandria via LeMat-Bulk. Energies are from PBE.

a b c (Å): 4.4767 6.1408 3.0220
angles (deg): 61.01 89.71 121.48
With the nearest neighbours (Å) after each atom.
Fractional coordinates of all 4 atoms:
Mg 0.5000 0.0000 0.5000  2 Tc 2.69, 8 Si 2.69-2.71
Si 0.0000 0.0000 0.0000  2 Si 2.69, 4 Mg 2.69-2.71, 4 Tc 2.69-2.71
Si 0.0000 0.5000 0.5000  2 Si 2.69, 4 Tc 2.69-2.71, 4 Mg 2.69-2.71
Tc 0.5000 0.5000 0.0000  2 Mg 2.69, 8 Si 2.69-2.71

## Properties
Total magnetic moment in μB per atom: 0.000
Space group: C2/m, No. 12
ΔE_f (raw) in kJ/mol of atoms: 6.88

=====

# 3
Here is a geometry-optimized Cs3Rb4Au structure from Alexandria via LeMat-Bulk. Energies are from PBE.

a b c (Å): 7.1315 13.5818 14.0271
angles (deg): 90.00 90.00 90.00
With the nearest neighbours (Å) after each atom.
Fractional coordinates of all 16 atoms:
Cs 0.5649 0.1044 0.0000  7 Rb 4.33-4.83
Cs 0.0643 0.5727 0.1608  1 Au 3.68
Cs 0.5643 0.4273 0.3392  1 Au 3.68
Cs 0.0649 0.8956 0.5000  7 Rb 4.33-4.83
Cs 0.5643 0.4273 0.6608  1 Au 3.68
Cs 0.0643 0.5727 0.8392  1 Au 3.68
Au 0.0641 0.3586 0.0000  4 Rb 3.63-3.67, 2 Cs 3.68
Au 0.5641 0.6414 0.5000  4 Rb 3.63-3.67, 2 Cs 3.68
Rb 0.0648 0.8812 0.0000  4 Cs 4.68-4.76
Rb 0.5641 0.4231 0.0000  2 Au 3.67
Rb 0.0644 0.2034 0.2110  1 Au 3.63
Rb 0.5644 0.7966 0.2890  1 Au 3.63
Rb 0.0641 0.5769 0.5000  2 Au 3.67
Rb 0.5648 0.1188 0.5000  4 Cs 4.68-4.76
Rb 0.5644 0.7966 0.7110  1 Au 3.63
Rb 0.0644 0.2034 0.7890  1 Au 3.63

## Properties
Total magnetic moment in μB per atom: 0.000
Space group: Pmn2_1, No. 31
Uncorrected energy in eV/atom: -1.233

=====

# 4
Here is a geometry-optimized Li4TbIn structure from Alexandria via LeMat-Bulk. Energies are from PBE.

a b c (Å): 5.5115 5.5115 5.5115
angles (deg): 60.00 60.00 60.00
With the nearest neighbours (Å) after each atom.
Fractional coordinates of all 6 atoms:
Li 0.6260 0.6260 0.1221  6 Li 2.73-2.78
Li 0.6260 0.1221 0.6260  6 Li 2.73-2.78
Li 0.6260 0.6260 0.6260  6 Li 2.73-2.78
Li 0.1221 0.6260 0.6260  6 Li 2.73-2.78
Tb 0.2500 0.2500 0.2500  12 Li 3.23, 4 In 3.38
In 0.0000 0.0000 0.0000  12 Li 3.23, 4 Tb 3.38

## Properties
Total magnetic moment in μB per atom: 0.000
Space group: F-43m, No. 216
Uncorrected energy in eV/atom: -2.645

=====

# 5
Here is a geometry-optimized Sm8Rh3CBr4 structure from Alexandria via LeMat-Bulk. Energies are from PBE.

a b c (Å): 8.0729 8.9651 8.0729
angles (deg): 116.82 120.00 90.00
With the nearest neighbours (Å) after each atom.
Fractional coordinates of all 16 atoms:
Sm 0.2189 0.6840 0.9655  1 C 2.61, 2 Rh 2.78
Sm 0.2190 0.6841 0.4381  1 C 2.61, 2 Rh 2.78
Sm 0.2663 0.2994 0.5327  3 Rh 2.79
Sm 0.7466 0.6840 0.9655  1 C 2.61, 2 Rh 2.78
Sm 0.2534 0.3160 0.0345  1 C 2.61, 2 Rh 2.78
Sm 0.7337 0.7006 0.4673  3 Rh 2.79
Sm 0.7810 0.3159 0.5619  1 C 2.61, 2 Rh 2.78
Sm 0.7811 0.3160 0.0345  1 C 2.61, 2 Rh 2.78
Rh 0.5000 0.5000 0.0000  6 Sm 2.78-2.79
Rh 0.5000 0.5000 0.5000  6 Sm 2.78-2.79
Rh 0.0000 0.5000 0.5000  6 Sm 2.78-2.79
C 0.0000 0.5000 0.0000  6 Sm 2.61
Br 0.5000 0.0000 0.0000  6 Sm 3.44-3.45
Br 0.5000 0.0000 0.5000  6 Sm 3.27-3.32
Br 0.0000 0.0000 0.0000  6 Sm 3.26-3.32
Br 0.0000 0.0000 0.5000  6 Sm 3.27-3.32

## Properties
Total magnetic moment in μB per atom: 0.000
Space group: C2/m, No. 12
ΔE_f (raw) in kJ/mol of atoms: -94.11

=====

# 6
Here is a geometry-optimized CaCd11Ge structure from Alexandria via LeMat-Bulk. Energies are from PBE.

a b c (Å): 6.0228 7.6983 7.6906
angles (deg): 81.28 66.95 67.21
With the nearest neighbours (Å) after each atom.
Fractional coordinates of all 13 atoms:
Ca 0.0000 0.0000 0.0000  18 Cd 3.53-3.85, 2 Ge 3.86
Cd 0.2841 0.2135 0.2129  7 Cd 2.94-3.24, 1 Ge 2.95
Cd 0.7159 0.7865 0.7871  7 Cd 2.94-3.24, 1 Ge 2.95
Cd 0.5030 0.7865 0.2129  7 Cd 2.94-3.24, 1 Ge 2.95
Cd 0.4970 0.2135 0.7871  7 Cd 2.94-3.24, 1 Ge 2.95
Cd 0.3559 0.6480 0.6477  7 Cd 2.96-3.31, 1 Ge 3.09
Cd 0.6441 0.3520 0.3523  7 Cd 2.96-3.31, 1 Ge 3.09
Cd 0.9964 0.3520 0.6477  7 Cd 2.96-3.31, 1 Ge 3.09
Cd 0.0036 0.6480 0.3523  7 Cd 2.96-3.31, 1 Ge 3.09
Cd 0.0000 0.5000 0.0000  8 Cd 2.94-3.10, 2 Ge 3.01
Cd 0.5000 0.0000 0.5000  10 Cd 2.94-3.11
Cd 0.0000 0.0000 0.5000  10 Cd 2.94-3.11
Ge 0.5000 0.5000 0.0000  10 Cd 2.95-3.09

## Properties
Total magnetic moment in μB per atom: 0.000
Space group: C2/m, No. 12
Uncorrected energy in eV/atom: -1.334